Entry 1:
Material: ZrCu2Cl
Method: DFT, GGA-PBE
State: optimized geometry

## Properties
Space-group type: Fm-3m (225)
Energy relative to the elements, uncorrected, meV/atom: 382
M_tot, μB/atom: 0.000
Excess energy over the best structure of this formula in the dataset, eV/f.u.: 2.79
Final energy, eV per atom: -4.265

a b c (Å): 6.530 6.530 6.530
angles (deg): 90.00 90.00 90.00
Atoms (fractional coordinates):
Zr  0.000  0.000  0.000
Zr  0.000  0.500  0.500
Zr  0.500  0.000  0.500
Zr  0.500  0.500  0.000
Cu  0.250  0.250  0.250
Cu  0.250  0.250  0.750
Cu  0.250  0.750  0.250
Cu  0.250  0.750  0.750
Cu  0.750  0.250  0.250
Cu  0.750  0.250  0.750
Cu  0.750  0.750  0.250
Cu  0.750  0.750  0.750
Cl  0.000  0.000  0.500
Cl  0.000  0.500  0.000
Cl  0.500  0.000  0.000
Cl  0.500  0.500  0.500



Entry 2:
Material: Zr2CuCl8
Method: DFT, GGA-PBE
State: optimized geometry

## Properties
Space-group type: C2/m (12)
Energy relative to the elements, uncorrected, meV/atom: -1333
M_tot, μB/atom: 0.093
Final energy, eV per atom: -4.603

a b c (Å): 7.971 7.971 6.681
angles (deg): 95.80 95.80 71.20
Atoms (fractional coordinates):
Zr  0.201  0.201  0.387
Zr  0.799  0.799  0.613
Cu  0.000  0.000  0.000
Cl  0.088  0.717  0.792
Cl  0.180  0.180  0.733
Cl  0.283  0.912  0.208
Cl  0.373  0.373  0.310
Cl  0.627  0.627  0.690
Cl  0.717  0.088  0.792
Cl  0.820  0.820  0.267
Cl  0.912  0.283  0.208



- Which formula does entry 1 have?
  ZrCu2Cl